Compound: HoPd5Pt5
Source: the Alexandria database
Functional: PBE
Structure: relaxed

abc: 5.480 4.479 9.994
angles: 89.93 50.92 89.94
Sites, in units of the cell vectors:
Ho 0.000 0.000 0.000
Pd 0.233 0.500 0.175
Pd 0.180 0.001 0.648
Pd 0.500 0.000 0.000
Pd 0.820 0.999 0.352
Pd 0.767 0.500 0.825
Pt 0.345 0.000 0.318
Pt 0.355 0.500 0.722
Pt 0.000 0.500 0.500
Pt 0.645 0.500 0.278
Pt 0.655 0.000 0.682

The space group is No. 2. The calculated formation energy comes out at -0.24 eV/atom. Its density is 14.58 g/cm³.